{
  "formula": "Li2FeS2",
  "functional": "PBE-GGA",
  "state": "optimized geometry",
  "raw_formation_energy_ev_per_atom": -0.8834,
  "dft_energy_ev_per_atom": -4.992,
  "de_polymorph_ev_per_fu": 0.00,
  "volume_a3_per_cell": 188.68,
  "cell": [[5.7635, 0.0000, 0.0000], [0.0000, 5.7635, 0.0000], [0.0000, 0.0000, 5.6802]],
  "species": ["Li", "Li", "Li", "Li", "Fe", "Fe", "S", "S", "S", "S"],
  "frac_coords": [[0.0000, 0.5000, 0.2500], [0.0000, 0.5000, 0.7500], [0.5000, 0.0000, 0.2500], [0.5000, 0.0000, 0.7500], [0.0000, 0.0000, 0.2500], [0.0000, 0.0000, 0.7500], [0.2284, 0.2284, 0.0000], [0.2284, 0.7716, 0.5000], [0.7716, 0.2284, 0.5000], [0.7716, 0.7716, 0.0000]]
}